First-principles (GGA-PBE) data for Tl2In2Ge after structural relaxation, as listed in Alexandria via LeMat-Bulk.

Properties
- formation energy from the elements (eV/f.u.) = 1.2
- total energy (eV/atom) = -2.73
- space group = No. 127
- magnetization (μB per cell) = 0.00

a b c (Å): 7.652 7.652 5.044
angles (deg): 90.00 90.00 90.00
Element x y z (fractional)
1 In 0.338 0.162 0.500
2 Tl 0.648 0.148 0.000
3 In 0.662 0.838 0.500
4 Ge 0.500 0.500 0.000
5 In 0.838 0.338 0.500
6 In 0.162 0.662 0.500
7 Tl 0.352 0.852 0.000
8 Tl 0.148 0.352 0.000
9 Tl 0.852 0.648 0.000
10 Ge 0.000 0.000 0.000